[1]
A plane-wave DFT calculation with PBE was carried out for a relaxed LiP3O crystal.

For the density of states at the Fermi level, the calculation gives 3.6 states/eV/f.u. The total energy comes out at -3.42 eV/atom. Its space-group type is Pm-3m (221).

abc: 4.2206 4.2206 4.2206
angles: 90.00 90.00 90.00
With the nearest neighbours (Å) after each atom.
Positions (direct):
Li: 0.0000 0.0000 0.0000  6 P 2.11
P: 0.0000 0.0000 0.5000  2 Li 2.11
P: 0.0000 0.5000 0.0000  2 Li 2.11
P: 0.5000 0.0000 0.0000  2 Li 2.11
O: 0.5000 0.5000 0.5000  12 P 2.98


[2]
A plane-wave DFT calculation with PBE was carried out for a relaxed Ba4AgAu crystal.

For the density of states at the Fermi level, the calculation gives 7.7 states/eV/f.u. As for the formation energy: 0.457 eV/atom. The total energy comes out at -1.85 eV/atom. Its space-group type is F-43m (216).

abc: 7.1474 7.1474 7.1474
angles: 60.00 60.00 60.00
With the nearest neighbours (Å) after each atom.
Positions (direct):
Ba: 0.1254 0.1254 0.1254  6 Ba 3.56-3.59
Ba: 0.1254 0.1254 0.6237  6 Ba 3.56-3.59
Ba: 0.1254 0.6237 0.1254  6 Ba 3.56-3.59
Ba: 0.6237 0.1254 0.1254  6 Ba 3.56-3.59
Ag: 0.7500 0.7500 0.7500  12 Ba 4.19, 4 Au 4.38
Au: 0.5000 0.5000 0.5000  12 Ba 4.19, 4 Ag 4.38